(1)
Density functional theory data (PBE) for a geometry-optimized CaPu3Ir2 structure.

Values from the calculation:
**Mass density**: 13.4 Mg/m³
**VASP energy**: -10.74 eV per atom
**N(E_F)**: 4.45 states/eV/atom

a b c (Å): 4.343 8.749 7.538
angles (deg): 90.00 90.00 90.00
Space group Pmc2_1 (No. 26)
One atom of each set of equivalent atoms:
Ca (0.000, 0.079, 0.000)
Pu (0.000, 0.319, 0.622)
Pu (0.500, 0.185, 0.329)
Pu (0.500, 0.416, 0.957)
Ir (0.000, 0.382, 0.243)
Ir (0.500, 0.132, 0.712)


(2)
Density functional theory data (PBE) for a geometry-optimized Ca2Pu2Ir3 structure.

Values from the calculation:
**Mass density**: 11.9 Mg/m³
**VASP energy**: -8.88 eV per atom
**N(E_F)**: 2.19 states/eV/atom

a b c (Å): 11.282 4.403 8.457
angles (deg): 90.00 130.37 90.00
Space group C2/m (No. 12)
One atom of each set of equivalent atoms:
Ca (0.194, 0.000, 0.100)
Pu (0.125, 0.000, 0.451)
Ir (0.000, 0.500, 0.500)
Ir (0.033, 0.500, 0.183)


(3)
Density functional theory data (PBE) for a geometry-optimized Ca3Pu4Ir4 structure.

Values from the calculation:
**Mass density**: 13.6 Mg/m³
**VASP energy**: -9.06 eV per atom
**N(E_F)**: 1.30 states/eV/atom

a b c (Å): 3.218 10.335 13.685
angles (deg): 90.00 90.00 90.00
Space group Immm (No. 71)
One atom of each set of equivalent atoms:
Ca (0.000, 0.000, 0.000)
Ca (0.000, 0.500, 0.111)
Pu (0.000, 0.280, 0.308)
Ir (0.000, 0.000, 0.208)
Ir (0.000, 0.223, 0.500)


(4)
Density functional theory data (PBE) for a geometry-optimized Ca2PuIr2 structure.

Values from the calculation:
**Mass density**: 9.9 Mg/m³
**VASP energy**: -7.64 eV per atom
**N(E_F)**: 1.38 states/eV/atom

a b c (Å): 4.293 5.855 9.440
angles (deg): 90.00 90.00 90.00
Space group Immm (No. 71)
One atom of each set of equivalent atoms:
Ca (0.000, 0.000, 0.200)
Pu (0.000, 0.500, 0.000)
Ir (0.000, 0.275, 0.500)


(5)
Density functional theory data (PBE) for a geometry-optimized CaPuIrRh structure.

Values from the calculation:
**Mass density**: 12.1 Mg/m³
**VASP energy**: -8.51 eV per atom
**N(E_F)**: 1.64 states/eV/atom

a b c (Å): 6.819 6.819 6.819
angles (deg): 90.00 90.00 90.00
Space group F-43m (No. 216)
One atom of each set of equivalent atoms:
Ca (0.000, 0.000, 0.000)
Pu (0.000, 0.000, 0.500)
Ir (0.250, 0.250, 0.750)
Rh (0.250, 0.250, 0.250)


(6)
Density functional theory data (PBE) for a geometry-optimized CaPuTlIr structure.

Values from the calculation:
**Mass density**: 11.5 Mg/m³
**VASP energy**: -7.20 eV per atom
**N(E_F)**: 2.46 states/eV/atom

a b c (Å): 3.442 3.442 8.328
angles (deg): 90.00 90.00 90.00
Space group P4mm (No. 99)
One atom of each set of equivalent atoms:
Ca (0.000, 0.000, 0.000)
Pu (0.000, 0.000, 0.591)
Tl (0.500, 0.500, 0.294)
Ir (0.500, 0.500, 0.770)


(7)
Density functional theory data (PBE) for a geometry-optimized CaPuZnIr structure.

Values from the calculation:
**Mass density**: 10.5 Mg/m³
**VASP energy**: -6.85 eV per atom
**N(E_F)**: 2.23 states/eV/atom

a b c (Å): 6.992 6.992 6.992
angles (deg): 90.00 90.00 90.00
Space group F-43m (No. 216)
One atom of each set of equivalent atoms:
Ca (0.000, 0.000, 0.000)
Pu (0.000, 0.000, 0.500)
Zn (0.250, 0.250, 0.250)
Ir (0.250, 0.250, 0.750)


(8)
Density functional theory data (PBE) for a geometry-optimized Rb3CaIr structure.

Values from the calculation:
**Mass density**: 2.9 Mg/m³
**VASP energy**: -1.93 eV per atom
**N(E_F)**: 0.86 states/eV/atom

a b c (Å): 6.508 6.508 6.508
angles (deg): 90.00 90.00 90.00
Space group Pm-3m (No. 221)
One atom of each set of equivalent atoms:
Rb (0.000, 0.000, 0.500)
Ca (0.500, 0.500, 0.500)
Ir (0.000, 0.000, 0.000)


(9)
Density functional theory data (PBE) for a geometry-optimized RbCaIr2 structure.

Values from the calculation:
**Mass density**: 7.3 Mg/m³
**VASP energy**: -4.56 eV per atom
**N(E_F)**: 0.48 states/eV/atom

a b c (Å): 4.812 4.812 20.081
angles (deg): 90.00 90.00 90.00
Space group I-42d (No. 122)
One atom of each set of equivalent atoms:
Rb (0.000, 0.000, 0.000)
Ca (0.000, 0.000, 0.500)
Ir (0.076, 0.250, 0.625)


(10)
Density functional theory data (PBE) for a geometry-optimized Rb2CaIr structure.

Values from the calculation:
**Mass density**: 5.0 Mg/m³
**VASP energy**: -2.28 eV per atom
**N(E_F)**: 1.04 states/eV/atom

a b c (Å): 8.099 8.099 8.099
angles (deg): 90.00 90.00 90.00
Space group Fm-3m (No. 225)
One atom of each set of equivalent atoms:
Rb (0.250, 0.250, 0.250)
Ca (0.000, 0.000, 0.000)
Ir (0.000, 0.000, 0.500)


(11)
Density functional theory data (PBE) for a geometry-optimized RbCaIr3 structure.

Values from the calculation:
**Mass density**: 8.6 Mg/m³
**VASP energy**: -3.89 eV per atom
**N(E_F)**: 1.57 states/eV/atom

a b c (Å): 5.135 5.135 5.135
angles (deg): 90.00 90.00 90.00
Space group Pm-3m (No. 221)
One atom of each set of equivalent atoms:
Rb (0.000, 0.000, 0.000)
Ca (0.500, 0.500, 0.500)
Ir (0.000, 0.500, 0.500)


(12)
Density functional theory data (PBE) for a geometry-optimized RbCaIr2 structure.

Values from the calculation:
**Mass density**: 9.4 Mg/m³
**VASP energy**: -4.13 eV per atom
**N(E_F)**: 1.00 states/eV/atom

a b c (Å): 7.109 7.109 7.109
angles (deg): 90.00 90.00 90.00
Space group Fm-3m (No. 225)
One atom of each set of equivalent atoms:
Rb (0.000, 0.000, 0.000)
Ca (0.000, 0.000, 0.500)
Ir (0.250, 0.250, 0.250)


Question: Among the records above, which one has the highest mass density?
Answer: Ca3Pu4Ir4


Question: What is the VASP energy in the sixth record?
Answer: -7.20 eV per atom


Question: The highest mass density belongs to which entry?
Answer: Ca3Pu4Ir4


Question: What is the formula in the eighth record?
Answer: Rb3CaIr